(1)
Here is crystalline Mg2SiIr at its relaxed geometry from Alexandria. Energies are from PBE.

The structure belongs to space group P4/mmm (No. 123); the cell edges are 3.335, 3.335 and 5.703 Å and the angles 90.00°, 90.00° and 90.00°. The inequivalent atoms are Mg at (0.000, 0.000, 0.241), Si at (0.500, 0.500, 0.500) and Ir at (0.500, 0.500, 0.000).

***

(2)
Here is crystalline MgSiIr at its relaxed geometry from Alexandria. Energies are from PBE.

The structure belongs to space group P-6m2 (No. 187); the cell edges are 4.1617, 4.1617 and 3.1167 Å and the angles 90.00°, 90.00° and 120.00°. The inequivalent atoms are Mg at (0.0000, 0.0000, 0.0000), Si at (0.6667, 0.3333, 0.5000) and Ir at (0.3333, 0.6667, 0.5000).

***

no.,energy (eV per atom)
1,-4.56
2,-5.79